No. 1
Entry from the Alexandria database: an optimized crystal structure of CaIn2Pd2 (PBE-GGA).

a b c (Å): 4.5964 4.5964 11.4041
angles (deg): 101.63 101.63 90.00
Fractional positions:
In  0.1873  0.1873  0.3746
Pd  0.9319  0.9319  0.8638
Pd  0.0681  0.0681  0.1362
In  0.8127  0.8127  0.6254
Ca  0.6331  0.6331  0.2662
In  0.0000  0.5000  0.0000
Pd  0.7500  0.2500  0.5000
In  0.5000  0.0000  0.0000
Ca  0.3669  0.3669  0.7338
Pd  0.2500  0.7500  0.5000

Computed properties:
energy of formation = -0.561 eV/atom
total energy = -4.1337 eV per atom
space group = I4/mmm
size of the total moment = 0.00 μB per cell

No. 2
Entry from the Alexandria database: an optimized crystal structure of TlSiAu (PBE-GGA).

a b c (Å): 6.3624 4.4238 6.2665
angles (deg): 70.08 112.24 110.37
Fractional positions:
Au  0.3218  0.3153  0.8297
Tl  0.4714  0.6113  0.3711
Au  0.0145  0.7191  0.7100
Tl  0.8647  0.4228  0.1686
Si  0.5028  0.8984  0.8457
Si  0.8335  0.1360  0.6940

Computed properties:
total energy = -3.6332 eV per atom
space group = P-1
uncorrected formation energy = 56 meV/atom
size of the total moment = 0.00 μB per cell

Which value of size of the total moment does entry 1 give? 0.00 μB per cell

Number 1 is which compound? CaIn2Pd2